DFT (PBE-GGA) results for a relaxed Ta2CoRe crystal. Values from VASP.

- total magnetic moment (μB/cell) = 1.51
- crystal system = tetragonal
- space group = P4mm
- formation energy from the elements (eV per atom) = -0.030
- total DFT energy (no corrections) (eV per atom) = -10.845

Cell and atoms, written as Quantum ESPRESSO input:
```
&SYSTEM
  ibrav = 0, nat = 4, ntyp = 3
/
ATOMIC_SPECIES
Ta 180.95 Ta.upf
Co 58.93 Co.upf
Re 186.21 Re.upf
ATOMIC_POSITIONS angstrom
Ta 0.000 0.000 0.000
Ta 1.601 1.601 1.759
Co 0.000 0.000 3.120
Re 1.601 1.601 4.625
CELL_PARAMETERS angstrom
3.203 0.000 0.000
0.000 3.203 0.000
0.000 0.000 6.093
```



DFT (PBE-GGA) results for a relaxed TaCo6Re crystal. Values from VASP.

- total magnetic moment (μB/cell) = 5.52
- crystal system = orthorhombic
- space group = Cmmm
- formation energy from the elements (eV per atom) = -0.097
- total DFT energy (no corrections) (eV per atom) = -8.464

Cell and atoms, written as Quantum ESPRESSO input:
```
&SYSTEM
  ibrav = 0, nat = 32, ntyp = 3
/
ATOMIC_SPECIES
Ta 180.95 Ta.upf
Co 58.93 Co.upf
Re 186.21 Re.upf
ATOMIC_POSITIONS angstrom
Ta 0.000 0.000 2.534
Ta 0.000 0.000 7.671
Ta 3.611 2.575 0.000
Ta 3.611 -2.575 0.000
Co 0.000 0.000 0.000
Co 0.000 0.000 5.102
Co 1.842 1.295 3.861
Co 1.842 1.295 6.344
Co 1.848 1.259 1.313
Co 1.848 1.259 8.892
Co 3.611 2.513 2.612
Co 3.611 2.513 7.593
Co 1.848 -1.259 1.313
Co 1.848 -1.259 8.892
Co 1.842 -1.295 3.861
Co 1.842 -1.295 6.344
Co 3.611 0.000 0.000
Co 3.611 0.000 5.102
Co 5.380 1.295 3.861
Co 5.380 1.295 6.344
Co 5.374 1.259 1.313
Co 5.374 1.259 8.892
Co 3.611 -2.513 2.612
Co 3.611 -2.513 7.593
Co 5.374 -1.259 1.313
Co 5.374 -1.259 8.892
Co 5.380 -1.295 3.861
Co 5.380 -1.295 6.344
Re 3.611 2.587 5.102
Re 3.611 0.000 2.524
Re 3.611 0.000 7.680
Re 3.611 -2.587 5.102
CELL_PARAMETERS angstrom
3.611 -5.097 0.000
3.611 5.097 0.000
0.000 0.000 10.205
```



DFT (PBE-GGA) results for a relaxed Ta2CoRe crystal. Values from VASP.

- total magnetic moment (μB/cell) = 0.96
- crystal system = monoclinic
- space group = P2/m
- formation energy from the elements (eV per atom) = -0.015
- total DFT energy (no corrections) (eV per atom) = -10.830

Cell and atoms, written as Quantum ESPRESSO input:
```
&SYSTEM
  ibrav = 0, nat = 4, ntyp = 3
/
ATOMIC_SPECIES
Ta 180.95 Ta.upf
Co 58.93 Co.upf
Re 186.21 Re.upf
ATOMIC_POSITIONS angstrom
Ta 0.467 0.000 1.312
Ta 1.400 0.000 3.958
Co 1.375 2.155 0.000
Re -0.441 2.155 2.635
CELL_PARAMETERS angstrom
2.749 0.000 0.000
0.000 4.311 0.000
-0.883 0.000 5.270
```



DFT (PBE-GGA) results for a relaxed Ta6Co5Re crystal. Values from VASP.

- total magnetic moment (μB/cell) = 2.48
- crystal system = monoclinic
- space group = P2/m
- formation energy from the elements (eV per atom) = -0.157
- total DFT energy (no corrections) (eV per atom) = -10.081

Cell and atoms, written as Quantum ESPRESSO input:
```
&SYSTEM
  ibrav = 0, nat = 12, ntyp = 3
/
ATOMIC_SPECIES
Ta 180.95 Ta.upf
Co 58.93 Co.upf
Re 186.21 Re.upf
ATOMIC_POSITIONS angstrom
Ta 0.000 1.485 0.000
Ta 0.000 4.575 0.000
Ta 0.341 1.499 4.291
Ta 0.341 4.560 4.291
Ta 2.260 1.499 2.252
Ta 2.260 4.560 2.252
Co -0.108 0.000 2.062
Co -0.075 3.030 2.120
Co 2.234 0.000 0.000
Co 2.676 3.030 4.422
Co 2.710 0.000 4.481
Re 2.234 3.030 0.000
CELL_PARAMETERS angstrom
4.467 0.000 0.000
0.000 6.059 0.000
-1.866 0.000 6.542
```



DFT (PBE-GGA) results for a relaxed Ta2Co9Re crystal. Values from VASP.

- total magnetic moment (μB/cell) = 0.08
- crystal system = trigonal
- space group = R-3m
- formation energy from the elements (eV per atom) = 0.035
- total DFT energy (no corrections) (eV per atom) = -8.307

Cell and atoms, written as Quantum ESPRESSO input:
```
&SYSTEM
  ibrav = 0, nat = 12, ntyp = 3
/
ATOMIC_SPECIES
Ta 180.95 Ta.upf
Co 58.93 Co.upf
Re 186.21 Re.upf
ATOMIC_POSITIONS angstrom
Ta 0.000 0.000 3.112
Ta 0.000 0.000 19.835
Co -1.180 -0.681 9.564
Co 0.000 0.000 7.666
Co 0.000 -1.363 13.383
Co -1.180 0.681 13.383
Co 0.000 0.000 11.473
Co 1.180 -0.681 9.564
Co 0.000 1.363 9.564
Co 0.000 0.000 15.281
Co 1.180 0.681 13.383
Re 0.000 0.000 0.000
CELL_PARAMETERS angstrom
2.333 1.347 7.649
-2.333 1.347 7.649
0.000 -2.694 7.649
```



DFT (PBE-GGA) results for a relaxed TaCo2Re crystal. Values from VASP.

- total magnetic moment (μB/cell) = 0.34
- excess energy over the best structure of this formula in the dataset (meV/atom) = 193
- crystal system = tetragonal
- space group = P4/mmm
- formation energy from the elements (eV per atom) = 0.073
- total DFT energy (no corrections) (eV per atom) = -9.555

Cell and atoms, written as Quantum ESPRESSO input:
```
&SYSTEM
  ibrav = 0, nat = 4, ntyp = 3
/
ATOMIC_SPECIES
Ta 180.95 Ta.upf
Co 58.93 Co.upf
Re 186.21 Re.upf
ATOMIC_POSITIONS angstrom
Ta 0.000 0.000 0.000
Co 1.594 1.594 1.384
Co 1.594 1.594 3.940
Re 0.000 0.000 2.662
CELL_PARAMETERS angstrom
3.187 0.000 0.000
0.000 3.187 0.000
0.000 0.000 5.324
```



DFT (PBE-GGA) results for a relaxed Ta2CoRe crystal. Values from VASP.

- total magnetic moment (μB/cell) = 0.00
- crystal system = trigonal
- space group = R-3m
- formation energy from the elements (eV per atom) = 0.136
- total DFT energy (no corrections) (eV per atom) = -10.679

Cell and atoms, written as Quantum ESPRESSO input:
```
&SYSTEM
  ibrav = 0, nat = 4, ntyp = 3
/
ATOMIC_SPECIES
Ta 180.95 Ta.upf
Co 58.93 Co.upf
Re 186.21 Re.upf
ATOMIC_POSITIONS angstrom
Ta 0.000 0.000 5.907
Ta 0.000 0.000 18.184
Co 0.000 0.000 12.045
Re 0.000 0.000 0.000
CELL_PARAMETERS angstrom
1.515 0.875 8.030
-1.515 0.875 8.030
0.000 -1.749 8.030
```



DFT (PBE-GGA) results for a relaxed TaCo2Re crystal. Values from VASP.

- total magnetic moment (μB/cell) = 0.00
- excess energy over the best structure of this formula in the dataset (meV/atom) = 42
- crystal system = orthorhombic
- space group = Pmm2
- formation energy from the elements (eV per atom) = -0.078
- total DFT energy (no corrections) (eV per atom) = -9.706

Cell and atoms, written as Quantum ESPRESSO input:
```
&SYSTEM
  ibrav = 0, nat = 4, ntyp = 3
/
ATOMIC_SPECIES
Ta 180.95 Ta.upf
Co 58.93 Co.upf
Re 186.21 Re.upf
ATOMIC_POSITIONS angstrom
Ta 0.000 0.000 0.000
Co 1.351 0.000 2.344
Co 1.351 2.144 3.933
Re 0.000 2.144 1.750
CELL_PARAMETERS angstrom
2.701 0.000 0.000
0.000 4.289 0.000
0.000 0.000 4.589
```



DFT (PBE-GGA) results for a relaxed TaCo2Re crystal. Values from VASP.

- total magnetic moment (μB/cell) = 0.00
- excess energy over the best structure of this formula in the dataset (meV/atom) = 38
- crystal system = monoclinic
- space group = C2/m
- formation energy from the elements (eV per atom) = -0.082
- total DFT energy (no corrections) (eV per atom) = -9.710

Cell and atoms, written as Quantum ESPRESSO input:
```
&SYSTEM
  ibrav = 0, nat = 4, ntyp = 3
/
ATOMIC_SPECIES
Ta 180.95 Ta.upf
Co 58.93 Co.upf
Re 186.21 Re.upf
ATOMIC_POSITIONS angstrom
Ta 0.000 0.000 0.000
Co 1.336 1.848 1.345
Co 1.336 -1.848 1.345
Re 2.679 0.000 0.000
CELL_PARAMETERS angstrom
2.679 -3.696 0.000
2.679 3.696 0.000
-0.008 0.000 2.690
```



DFT (PBE-GGA) results for a relaxed Ta2CoRe crystal. Values from VASP.

- total magnetic moment (μB/cell) = 1.11
- crystal system = monoclinic
- space group = C2/m
- formation energy from the elements (eV per atom) = -0.017
- total DFT energy (no corrections) (eV per atom) = -10.832

Cell and atoms, written as Quantum ESPRESSO input:
```
&SYSTEM
  ibrav = 0, nat = 4, ntyp = 3
/
ATOMIC_SPECIES
Ta 180.95 Ta.upf
Co 58.93 Co.upf
Re 186.21 Re.upf
ATOMIC_POSITIONS angstrom
Ta 1.391 2.149 0.000
Ta 1.391 -2.149 0.000
Co -0.448 0.000 1.307
Re 2.333 0.000 1.307
CELL_PARAMETERS angstrom
2.782 -4.298 0.000
2.782 4.298 0.000
-0.897 0.000 2.614
```



DFT (PBE-GGA) results for a relaxed Ta3CoRe crystal. Values from VASP.

- total magnetic moment (μB/cell) = 0.00
- excess energy over the best structure of this formula in the dataset (meV/atom) = 0
- crystal system = cubic
- space group = Pm-3m
- formation energy from the elements (eV per atom) = 0.933
- total DFT energy (no corrections) (eV per atom) = -10.089

Cell and atoms, written as Quantum ESPRESSO input:
```
&SYSTEM
  ibrav = 0, nat = 5, ntyp = 3
/
ATOMIC_SPECIES
Ta 180.95 Ta.upf
Co 58.93 Co.upf
Re 186.21 Re.upf
ATOMIC_POSITIONS angstrom
Ta 0.000 0.000 2.253
Ta 0.000 2.253 0.000
Ta 2.253 0.000 0.000
Co 0.000 0.000 0.000
Re 2.253 2.253 2.253
CELL_PARAMETERS angstrom
4.506 0.000 0.000
0.000 4.506 0.000
0.000 0.000 4.506
```



DFT (PBE-GGA) results for a relaxed TaCo2Re crystal. Values from VASP.

- total magnetic moment (μB/cell) = 0.32
- excess energy over the best structure of this formula in the dataset (meV/atom) = 99
- crystal system = tetragonal
- space group = P4mm
- formation energy from the elements (eV per atom) = -0.021
- total DFT energy (no corrections) (eV per atom) = -9.649

Cell and atoms, written as Quantum ESPRESSO input:
```
&SYSTEM
  ibrav = 0, nat = 4, ntyp = 3
/
ATOMIC_SPECIES
Ta 180.95 Ta.upf
Co 58.93 Co.upf
Re 186.21 Re.upf
ATOMIC_POSITIONS angstrom
Ta 0.000 0.000 0.000
Co 0.000 0.000 2.657
Co 1.560 1.560 1.299
Re 1.560 1.560 3.849
CELL_PARAMETERS angstrom
3.119 0.000 0.000
0.000 3.119 0.000
0.000 0.000 5.579
```